No. 1
## Ac4Cd2C (GGA-PBE)

Data for a geometry-optimized Ac4Cd2C structure.

Lattice parameters (Å, degrees): 5.4880 5.4880 9.0205 107.71 107.71 90.00
Closest atoms and distances in Å follow each position.
Fractional positions:
Ac: 0.1672 0.1672 0.3344  1 C 2.72
Ac: 0.5000 0.0000 0.0000  2 C 2.74
Ac: 0.0000 0.5000 0.0000  2 C 2.74
Ac: 0.8328 0.8328 0.6656  1 C 2.72
C: 0.0000 0.0000 0.0000  6 Ac 2.72-2.74
Cd: 0.3712 0.3712 0.7425  5 Ac 3.32-3.45
Cd: 0.6288 0.6288 0.2575  5 Ac 3.32-3.45

Results
As for the formation energy from the elements: -0.053 eV per atom. For the volume, the calculation gives 245.3 Å³ per cell. The space group is I4/mmm (139). For the total magnetization, the calculation gives 0.000 μB per atom. As for the raw total energy: -3.9797 eV/atom.

=====

No. 2
## MgBeHS (GGA-PBE)

Data for a geometry-optimized MgBeHS structure.

Lattice parameters (Å, degrees): 5.3301 3.4231 5.9727 90.00 90.87 90.00
Closest atoms and distances in Å follow each position.
Fractional positions:
H: 0.6862 0.0000 0.4079  3 Mg 1.98-2.00
H: 0.6862 0.5000 0.9079  3 Mg 1.98-2.00
Mg: 0.6856 0.5000 0.5734  3 H 1.98-2.00
Mg: 0.6856 0.0000 0.0734  3 H 1.98-2.00
Be: 0.0819 0.0000 0.7380  3 S 2.06
Be: 0.0819 0.5000 0.2380  3 S 2.06
S: 0.1860 0.5000 0.5714  3 Be 2.06
S: 0.1860 0.0000 0.0714  3 Be 2.06

Results
Its energy relative to the lowest polymorph listed for this composition is 0.000 eV per atom. For the volume, the calculation gives 109.0 Å³ per cell. The space group is Cm (8). For the total magnetization, the calculation gives 0.000 μB per atom. As for the raw total energy: -3.5838 eV/atom.

=====

No. 3
## Ti5Ga2Ir (GGA-PBE)

Data for a geometry-optimized Ti5Ga2Ir structure.

Lattice parameters (Å, degrees): 4.5649 4.5649 6.8360 109.50 109.50 90.00
Closest atoms and distances in Å follow each position.
Fractional positions:
Ti: 0.6214 0.1214 0.2429  3 Ti 2.71-2.93, 2 Ir 2.71, 4 Ga 2.73-2.79
Ti: 0.5000 0.5000 0.0000  8 Ti 2.71, 2 Ga 2.97
Ti: 0.3786 0.8786 0.7571  3 Ti 2.71-2.93, 2 Ir 2.71, 4 Ga 2.73-2.79
Ti: 0.1214 0.6214 0.2429  2 Ir 2.71, 3 Ti 2.71-2.93, 4 Ga 2.73-2.79
Ti: 0.8786 0.3786 0.7571  2 Ir 2.71, 3 Ti 2.71-2.93, 4 Ga 2.73-2.79
Ir: 0.0000 0.0000 0.0000  8 Ti 2.71
Ga: 0.7460 0.7460 0.4921  9 Ti 2.73-2.97
Ga: 0.2540 0.2540 0.5079  9 Ti 2.73-2.97

Results
As for the formation energy from the elements: -0.498 eV per atom. Its energy relative to the lowest polymorph listed for this composition is 0.000 eV per atom. For the volume, the calculation gives 125.6 Å³ per cell. The space group is I4/mmm (139). For the total magnetization, the calculation gives 0.000 μB per atom. As for the raw total energy: -7.2964 eV/atom.

=====

No. 4
## Pm2MnTl3Se6 (GGA-PBE)

Data for a geometry-optimized Pm2MnTl3Se6 structure.

Lattice parameters (Å, degrees): 7.1559 7.1559 8.1005 99.21 99.21 118.85
Closest atoms and distances in Å follow each position.
Fractional positions:
Se: 0.9355 0.6372 0.8073  1 Mn 2.59
Se: 0.0645 0.3628 0.1927  1 Mn 2.59
Se: 0.7520 0.7520 0.2239  1 Mn 2.93, 2 Pm 2.94, 2 Tl 3.22
Se: 0.2480 0.2480 0.7761  1 Mn 2.93, 2 Pm 2.94, 2 Tl 3.22
Se: 0.6372 0.9355 0.8073  1 Mn 2.59
Se: 0.3628 0.0645 0.1927  1 Mn 2.59
Tl: 0.5000 0.5000 0.5000  6 Se 3.26-3.31
Tl: 0.1744 0.8256 0.5000  6 Se 3.22-3.47
Tl: 0.8256 0.1744 0.5000  6 Se 3.22-3.47
Mn: 0.0000 0.0000 0.0000  4 Se 2.59
Pm: 0.6641 0.3359 0.0000  6 Se 2.94-2.98
Pm: 0.3359 0.6641 0.0000  6 Se 2.94-2.98

Results
For the volume, the calculation gives 344.9 Å³ per cell. The space group is C2/m (12). For the total magnetization, the calculation gives 0.338 μB per atom. As for the raw total energy: -4.9020 eV/atom. The formation energy from raw total energies comes out at -1.012 eV/atom.

=====

No. 5
## PrDyCdCo (GGA-PBE)

Data for a geometry-optimized PrDyCdCo structure.

Lattice parameters (Å, degrees): 5.1449 5.1449 5.1449 60.00 60.00 60.00
Closest atoms and distances in Å follow each position.
Fractional positions:
Co: 0.2500 0.2500 0.2500  4 Dy 3.15, 4 Pr 3.15
Cd: 0.7500 0.7500 0.7500  4 Dy 3.15, 4 Pr 3.15
Dy: 0.0000 0.0000 0.0000  4 Cd 3.15, 4 Co 3.15
Pr: 0.5000 0.5000 0.5000  4 Co 3.15, 4 Cd 3.15

Results
As for the formation energy from the elements: -0.071 eV per atom. For the volume, the calculation gives 96.3 Å³ per cell. The space group is F-43m (216). For the total magnetization, the calculation gives 0.117 μB per atom. As for the raw total energy: -4.4220 eV/atom.

=====

No. 6
## Na3SbRu (GGA-PBE)

Data for a geometry-optimized Na3SbRu structure.

Lattice parameters (Å, degrees): 5.8308 5.8308 5.8308 90.00 90.00 90.00
Closest atoms and distances in Å follow each position.
Fractional positions:
Ru: 0.5000 0.5000 0.5000  12 Na 4.12
Na: 0.0000 0.5000 0.0000  2 Sb 2.92
Na: 0.5000 0.0000 0.0000  2 Sb 2.92
Na: 0.0000 0.0000 0.5000  2 Sb 2.92
Sb: 0.0000 0.0000 0.0000  6 Na 2.92

Results
Its energy relative to the lowest polymorph listed for this composition is 0.000 eV per atom. For the volume, the calculation gives 198.2 Å³ per cell. The space group is Pm-3m (221). For the total magnetization, the calculation gives 0.791 μB per atom. As for the raw total energy: -2.5377 eV/atom. The formation energy from raw total energies comes out at 0.933 eV/atom.

=====

No. 7
## SrYPd (GGA-PBE)

Data for a geometry-optimized SrYPd structure.

Lattice parameters (Å, degrees): 3.6669 3.6669 7.1888 104.78 104.78 90.00
Closest atoms and distances in Å follow each position.
Fractional positions:
Y: 0.2884 0.2884 0.5768  4 Pd 2.94
Pd: 0.6853 0.6853 0.3706  4 Y 2.94
Sr: 0.0263 0.0263 0.0526  4 Pd 3.36, 1 Y 3.51, 4 Sr 3.67

Results
As for the formation energy from the elements: -0.456 eV per atom. Its energy relative to the lowest polymorph listed for this composition is 0.000 eV per atom. For the volume, the calculation gives 90.2 Å³ per cell. The space group is I4mm (107). For the total magnetization, the calculation gives 0.000 μB per atom. As for the raw total energy: -4.9020 eV/atom.

=====

No. 8
## Th6AuS5 (GGA-PBE)

Data for a geometry-optimized Th6AuS5 structure.

Lattice parameters (Å, degrees): 7.1067 7.1067 7.1308 99.51 99.51 120.35
Closest atoms and distances in Å follow each position.
Fractional positions:
Th: 0.4299 0.0864 0.2561  5 S 2.88-2.91, 1 Au 2.99
Th: 0.5701 0.9136 0.7439  5 S 2.88-2.91, 1 Au 2.99
Th: 0.7398 0.7398 0.2533  5 S 2.82-2.90, 1 Au 2.98
Th: 0.0864 0.4299 0.2561  5 S 2.88-2.91, 1 Au 2.99
Th: 0.2602 0.2602 0.7467  5 S 2.82-2.90, 1 Au 2.98
Th: 0.9136 0.5701 0.7439  5 S 2.88-2.91, 1 Au 2.99
S: 0.5000 0.5000 0.5000  6 Th 2.82-2.91
S: 0.6682 0.3318 0.0000  6 Th 2.89-2.90
S: 0.1596 0.8404 0.5000  6 Th 2.86-2.91
S: 0.3318 0.6682 0.0000  6 Th 2.89-2.90
S: 0.8404 0.1596 0.5000  6 Th 2.86-2.91
Au: 0.0000 0.0000 0.0000  6 Th 2.98-2.99

Results
For the volume, the calculation gives 293.1 Å³ per cell. The space group is C2/m (12). For the total magnetization, the calculation gives 0.000 μB per atom. As for the raw total energy: -7.2963 eV/atom. The formation energy from raw total energies comes out at -1.593 eV/atom.